[1]
DFT (PBE) results for a relaxed structure of KRb6Hg4.

The value obtained for the energy of formation is -0.143 eV per atom. The calculated total energy is -0.880 eV per atom. The calculation puts the density of states at the Fermi level at 10.8 states/eV/cell.

Geometry as CIF:
```
data_KRb6Hg4
_chemical_formula_sum 'K2 Rb12 Hg8'
_space_group_name_H-M_alt 'P 1'
_space_group_IT_number 1
_cell_length_a 12.8015
_cell_length_b 12.8015
_cell_length_c 8.3886
_cell_angle_alpha 90.00
_cell_angle_beta 90.00
_cell_angle_gamma 120.00
loop_
_space_group_symop_operation_xyz
'x,y,z'
loop_
_atom_site_label
_atom_site_type_symbol
_atom_site_fract_x
_atom_site_fract_y
_atom_site_fract_z
K1 K 0.3333 0.6667 0.0000
K2 K 0.6667 0.3333 0.5000
Rb1 Rb 0.0458 0.5229 0.3751
Rb2 Rb 0.1344 0.2688 0.6708
Rb3 Rb 0.1344 0.8656 0.6708
Rb4 Rb 0.2688 0.1344 0.1708
Rb5 Rb 0.4771 0.5229 0.3751
Rb6 Rb 0.4771 0.9542 0.3751
Rb7 Rb 0.5229 0.0458 0.8751
Rb8 Rb 0.5229 0.4771 0.8751
Rb9 Rb 0.7312 0.8656 0.6708
Rb10 Rb 0.8656 0.1344 0.1708
Rb11 Rb 0.8656 0.7312 0.1708
Rb12 Rb 0.9542 0.4771 0.8751
Hg1 Hg 0.1855 0.3711 0.1252
Hg2 Hg 0.1855 0.8145 0.1252
Hg3 Hg 0.3333 0.6667 0.5927
Hg4 Hg 0.3711 0.1855 0.6252
Hg5 Hg 0.6289 0.8145 0.1252
Hg6 Hg 0.6667 0.3333 0.0927
Hg7 Hg 0.8145 0.1855 0.6252
Hg8 Hg 0.8145 0.6289 0.6252
```

---

[2]
DFT (PBE) results for a relaxed structure of K5Rb3Hg.

The value obtained for the energy of formation is -0.039 eV per atom. The calculated total energy is -1.005 eV per atom. The calculation puts the density of states at the Fermi level at 6.5 states/eV/cell.

Geometry as CIF:
```
data_K5Rb3Hg
_chemical_formula_sum 'K5 Rb3 Hg1'
_space_group_name_H-M_alt 'P 1'
_space_group_IT_number 1
_cell_length_a 11.7664
_cell_length_b 11.7664
_cell_length_c 5.2051
_cell_angle_alpha 90.00
_cell_angle_beta 90.00
_cell_angle_gamma 120.00
loop_
_space_group_symop_operation_xyz
'x,y,z'
loop_
_atom_site_label
_atom_site_type_symbol
_atom_site_fract_x
_atom_site_fract_y
_atom_site_fract_z
K1 K 0.0000 0.2292 0.0000
K2 K 0.2292 0.0000 0.0000
K3 K 0.3333 0.6667 0.0000
K4 K 0.6667 0.3333 0.0000
K5 K 0.7708 0.7708 0.0000
Rb1 Rb 0.0000 0.6300 0.5000
Rb2 Rb 0.3700 0.3700 0.5000
Rb3 Rb 0.6300 0.0000 0.5000
Hg1 Hg 0.0000 0.0000 0.5000
```

---

[3]
DFT (PBE) results for a relaxed structure of KRb4Hg.

The value obtained for the energy of formation is 0.089 eV per atom. The calculated total energy is -0.789 eV per atom. The calculation puts the density of states at the Fermi level at 5.0 states/eV/cell.

Geometry as CIF:
```
data_KRb4Hg
_chemical_formula_sum 'K1 Rb4 Hg1'
_space_group_name_H-M_alt 'P 1'
_space_group_IT_number 1
_cell_length_a 8.9497
_cell_length_b 8.9497
_cell_length_c 8.9497
_cell_angle_alpha 60.00
_cell_angle_beta 60.00
_cell_angle_gamma 60.00
loop_
_space_group_symop_operation_xyz
'x,y,z'
loop_
_atom_site_label
_atom_site_type_symbol
_atom_site_fract_x
_atom_site_fract_y
_atom_site_fract_z
K1 K 0.0000 0.0000 0.0000
Rb1 Rb 0.1257 0.6248 0.6248
Rb2 Rb 0.6248 0.1257 0.6248
Rb3 Rb 0.6248 0.6248 0.1257
Rb4 Rb 0.6248 0.6248 0.6248
Hg1 Hg 0.2500 0.2500 0.2500
```

---

[4]
DFT (PBE) results for a relaxed structure of KRbHg4.

The value obtained for the energy of formation is -0.223 eV per atom. The calculated total energy is -0.768 eV per atom. The calculation puts the density of states at the Fermi level at 2.1 states/eV/cell.

Geometry as CIF:
```
data_KRbHg4
_chemical_formula_sum 'K1 Rb1 Hg4'
_space_group_name_H-M_alt 'P 1'
_space_group_IT_number 1
_cell_length_a 6.5040
_cell_length_b 6.5040
_cell_length_c 6.5040
_cell_angle_alpha 60.00
_cell_angle_beta 60.00
_cell_angle_gamma 60.00
loop_
_space_group_symop_operation_xyz
'x,y,z'
loop_
_atom_site_label
_atom_site_type_symbol
_atom_site_fract_x
_atom_site_fract_y
_atom_site_fract_z
K1 K 0.0000 0.0000 0.0000
Rb1 Rb 0.7500 0.7500 0.7500
Hg1 Hg 0.3746 0.3746 0.3746
Hg2 Hg 0.3746 0.3746 0.8761
Hg3 Hg 0.3746 0.8761 0.3746
Hg4 Hg 0.8761 0.3746 0.3746
```

---

[5]
DFT (PBE) results for a relaxed structure of KRb12Hg4.

The value obtained for the energy of formation is -0.072 eV per atom. The calculated total energy is -0.890 eV per atom. The calculation puts the density of states at the Fermi level at 14.0 states/eV/cell.

Geometry as CIF:
```
data_KRb12Hg4
_chemical_formula_sum 'K1 Rb12 Hg4'
_space_group_name_H-M_alt 'P 1'
_space_group_IT_number 1
_cell_length_a 11.6898
_cell_length_b 11.6898
_cell_length_c 11.6898
_cell_angle_alpha 109.47
_cell_angle_beta 109.47
_cell_angle_gamma 109.47
loop_
_space_group_symop_operation_xyz
'x,y,z'
loop_
_atom_site_label
_atom_site_type_symbol
_atom_site_fract_x
_atom_site_fract_y
_atom_site_fract_z
K1 K 0.0000 0.0000 0.0000
Rb1 Rb 0.1461 0.8257 0.3204
Rb2 Rb 0.1743 0.3204 0.4947
Rb3 Rb 0.1743 0.6796 0.8539
Rb4 Rb 0.3204 0.1461 0.8257
Rb5 Rb 0.3204 0.4947 0.1743
Rb6 Rb 0.4947 0.1743 0.3204
Rb7 Rb 0.5053 0.8257 0.6796
Rb8 Rb 0.6796 0.5053 0.8257
Rb9 Rb 0.6796 0.8539 0.1743
Rb10 Rb 0.8257 0.3204 0.1461
Rb11 Rb 0.8257 0.6796 0.5053
Rb12 Rb 0.8539 0.1743 0.6796
Hg1 Hg 0.0000 0.0000 0.5000
Hg2 Hg 0.0000 0.5000 0.0000
Hg3 Hg 0.5000 0.0000 0.0000
Hg4 Hg 0.5000 0.5000 0.5000
```

---

[6]
DFT (PBE) results for a relaxed structure of KRb4Hg2.

The value obtained for the energy of formation is -0.118 eV per atom. The calculated total energy is -0.914 eV per atom. The calculation puts the density of states at the Fermi level at 8.6 states/eV/cell.

Geometry as CIF:
```
data_KRb4Hg2
_chemical_formula_sum 'K2 Rb8 Hg4'
_space_group_name_H-M_alt 'P 1'
_space_group_IT_number 1
_cell_length_a 10.2434
_cell_length_b 8.1438
_cell_length_c 10.5585
_cell_angle_alpha 90.00
_cell_angle_beta 111.94
_cell_angle_gamma 90.00
loop_
_space_group_symop_operation_xyz
'x,y,z'
loop_
_atom_site_label
_atom_site_type_symbol
_atom_site_fract_x
_atom_site_fract_y
_atom_site_fract_z
K1 K 0.0162 0.2500 0.1500
K2 K 0.9838 0.7500 0.8500
Rb1 Rb 0.2339 0.5030 0.5777
Rb2 Rb 0.2339 0.9970 0.5777
Rb3 Rb 0.3379 0.7500 0.2503
Rb4 Rb 0.3784 0.2500 0.0173
Rb5 Rb 0.6216 0.7500 0.9827
Rb6 Rb 0.6621 0.2500 0.7497
Rb7 Rb 0.7661 0.0030 0.4223
Rb8 Rb 0.7661 0.4970 0.4223
Hg1 Hg 0.0187 0.2500 0.7453
Hg2 Hg 0.4142 0.2500 0.3777
Hg3 Hg 0.5858 0.7500 0.6223
Hg4 Hg 0.9813 0.7500 0.2547
```

---

[7]
DFT (PBE) results for a relaxed structure of K7Rb2Hg3.

The value obtained for the energy of formation is -0.063 eV per atom. The calculated total energy is -0.940 eV per atom. The calculation puts the density of states at the Fermi level at 8.6 states/eV/cell.

Geometry as CIF:
```
data_K7Rb2Hg3
_chemical_formula_sum 'K7 Rb2 Hg3'
_space_group_name_H-M_alt 'P 1'
_space_group_IT_number 1
_cell_length_a 21.4769
_cell_length_b 21.4769
_cell_length_c 4.6195
_cell_angle_alpha 90.00
_cell_angle_beta 90.00
_cell_angle_gamma 162.16
loop_
_space_group_symop_operation_xyz
'x,y,z'
loop_
_atom_site_label
_atom_site_type_symbol
_atom_site_fract_x
_atom_site_fract_y
_atom_site_fract_z
K1 K 0.0000 0.0000 0.0000
K2 K 0.0837 0.9163 0.5000
K3 K 0.2830 0.7170 0.0000
K4 K 0.4299 0.5701 0.0000
K5 K 0.5701 0.4299 0.0000
K6 K 0.7170 0.2830 0.0000
K7 K 0.9163 0.0837 0.5000
Rb1 Rb 0.1639 0.8361 0.0000
Rb2 Rb 0.8361 0.1639 0.0000
Hg1 Hg 0.3593 0.6407 0.5000
Hg2 Hg 0.5000 0.5000 0.5000
Hg3 Hg 0.6407 0.3593 0.5000
```

---

[8]
DFT (PBE) results for a relaxed structure of K3Rb2Hg.

The value obtained for the energy of formation is -0.037 eV per atom. The calculated total energy is -0.959 eV per atom. The calculation puts the density of states at the Fermi level at 8.6 states/eV/cell.

Geometry as CIF:
```
data_K3Rb2Hg
_chemical_formula_sum 'K6 Rb4 Hg2'
_space_group_name_H-M_alt 'P 1'
_space_group_IT_number 1
_cell_length_a 12.5438
_cell_length_b 12.5438
_cell_length_c 9.4474
_cell_angle_alpha 100.80
_cell_angle_beta 100.80
_cell_angle_gamma 34.71
loop_
_space_group_symop_operation_xyz
'x,y,z'
loop_
_atom_site_label
_atom_site_type_symbol
_atom_site_fract_x
_atom_site_fract_y
_atom_site_fract_z
K1 K 0.0020 0.9980 0.7500
K2 K 0.3919 0.3930 0.4464
K3 K 0.3930 0.3919 0.9464
K4 K 0.6070 0.6081 0.0536
K5 K 0.6081 0.6070 0.5536
K6 K 0.9980 0.0020 0.2500
Rb1 Rb 0.2018 0.2026 0.1012
Rb2 Rb 0.2026 0.2018 0.6012
Rb3 Rb 0.7974 0.7982 0.3988
Rb4 Rb 0.7982 0.7974 0.8988
Hg1 Hg 0.4971 0.5029 0.2500
Hg2 Hg 0.5029 0.4971 0.7500
```

---

Please write out number 3 again, unchanged.
DFT (PBE) results for a relaxed structure of KRb4Hg.

The value obtained for the energy of formation is 0.089 eV per atom. The calculated total energy is -0.789 eV per atom. The calculation puts the density of states at the Fermi level at 5.0 states/eV/cell.

Geometry as CIF:
```
data_KRb4Hg
_chemical_formula_sum 'K1 Rb4 Hg1'
_space_group_name_H-M_alt 'P 1'
_space_group_IT_number 1
_cell_length_a 8.9497
_cell_length_b 8.9497
_cell_length_c 8.9497
_cell_angle_alpha 60.00
_cell_angle_beta 60.00
_cell_angle_gamma 60.00
loop_
_space_group_symop_operation_xyz
'x,y,z'
loop_
_atom_site_label
_atom_site_type_symbol
_atom_site_fract_x
_atom_site_fract_y
_atom_site_fract_z
K1 K 0.0000 0.0000 0.0000
Rb1 Rb 0.1257 0.6248 0.6248
Rb2 Rb 0.6248 0.1257 0.6248
Rb3 Rb 0.6248 0.6248 0.1257
Rb4 Rb 0.6248 0.6248 0.6248
Hg1 Hg 0.2500 0.2500 0.2500
```

---

What is the calculated total energy in the fifth record? -0.890 eV per atom

---

Please write out number 1 again, unchanged.
DFT (PBE) results for a relaxed structure of KRb6Hg4.

The value obtained for the energy of formation is -0.143 eV per atom. The calculated total energy is -0.880 eV per atom. The calculation puts the density of states at the Fermi level at 10.8 states/eV/cell.

Geometry as CIF:
```
data_KRb6Hg4
_chemical_formula_sum 'K2 Rb12 Hg8'
_space_group_name_H-M_alt 'P 1'
_space_group_IT_number 1
_cell_length_a 12.8015
_cell_length_b 12.8015
_cell_length_c 8.3886
_cell_angle_alpha 90.00
_cell_angle_beta 90.00
_cell_angle_gamma 120.00
loop_
_space_group_symop_operation_xyz
'x,y,z'
loop_
_atom_site_label
_atom_site_type_symbol
_atom_site_fract_x
_atom_site_fract_y
_atom_site_fract_z
K1 K 0.3333 0.6667 0.0000
K2 K 0.6667 0.3333 0.5000
Rb1 Rb 0.0458 0.5229 0.3751
Rb2 Rb 0.1344 0.2688 0.6708
Rb3 Rb 0.1344 0.8656 0.6708
Rb4 Rb 0.2688 0.1344 0.1708
Rb5 Rb 0.4771 0.5229 0.3751
Rb6 Rb 0.4771 0.9542 0.3751
Rb7 Rb 0.5229 0.0458 0.8751
Rb8 Rb 0.5229 0.4771 0.8751
Rb9 Rb 0.7312 0.8656 0.6708
Rb10 Rb 0.8656 0.1344 0.1708
Rb11 Rb 0.8656 0.7312 0.1708
Rb12 Rb 0.9542 0.4771 0.8751
Hg1 Hg 0.1855 0.3711 0.1252
Hg2 Hg 0.1855 0.8145 0.1252
Hg3 Hg 0.3333 0.6667 0.5927
Hg4 Hg 0.3711 0.1855 0.6252
Hg5 Hg 0.6289 0.8145 0.1252
Hg6 Hg 0.6667 0.3333 0.0927
Hg7 Hg 0.8145 0.1855 0.6252
Hg8 Hg 0.8145 0.6289 0.6252
```